(1)
The following is a DFT calculation (PBE-GGA) of an optimized crystal structure of Tm6Mg2Co.

Cell: 12.1040 7.1315 7.1789 Å, 90.00 125.89 90.00°
Space group C2/m (No. 12)
Asymmetric unit:
Tm 0.0222 0.2495 0.2738
Tm 0.2451 0.0000 0.7836
Mg 0.2489 0.5000 0.7546
Co 0.0000 0.5000 0.0000

energy of formation from the pure elements	-0.43	eV per formula unit

(2)
The following is a DFT calculation (PBE-GGA) of an optimized crystal structure of TmMgCo2.

Cell: 3.1954 3.1954 6.1654 Å, 90.00 90.00 90.00°
Space group P4/mmm (No. 123)
Asymmetric unit:
Tm 0.0000 0.0000 0.0000
Mg 0.0000 0.0000 0.5000
Co 0.5000 0.5000 0.2681

relative energy among the computed polymorphs	21	meV per atom
energy of formation from the pure elements	0.03	eV per formula unit

| no. | V (Å³/cell) | magnetization (μB per atom) |
| --- | --- | --- |
| 1 | 502 | 0.000 |
| 2 | 63 | 0.000 |